A plane-wave DFT calculation with meta-GGA SCAN was carried out for Sr2TcAgPd at its PBEsol-relaxed geometry.

The total energy comes out at -27.948 eV per atom.

The space group is P4/mmm (No. 123) and the conventional cell measures 5.717, 5.717 and 4.894 Å, with angles of 90.00, 90.00 and 90.00 degrees. The asymmetric unit holds Sr at (0.000, 0.500, 0.000), Tc at (0.000, 0.000, 0.500), Ag at (0.000, 0.000, 0.000) and Pd at (0.500, 0.500, 0.500).